Arrangement w

The following is a GGA-PBEsol calculation of SrReSb2 after structural relaxation, from Alexandria via LeMat-Bulk.

CIF file:
```
data_SrReSb2
_chemical_formula_sum 'Sr1 Re1 Sb2'
_cell_length_a 4.711
_cell_length_b 4.711
_cell_length_c 4.051
_cell_angle_alpha 90.00
_cell_angle_beta 90.00
_cell_angle_gamma 90.00
_space_group_name_H-M_alt 'P 4/m m m'
_space_group_IT_number 123
_space_group_name_Hall '-P 4 2'
loop_
_atom_site_label
_atom_site_fract_x
_atom_site_fract_y
_atom_site_fract_z
Sr1 0.000 0.000 0.000
Re1 0.500 0.500 0.000
Sb1 0.000 0.500 0.500
```

## Properties
Crystal system   tetragonal
DOS at the Fermi energy   4.6 states/eV/cell

=====

Arrangement x

The following is a GGA-PBEsol calculation of SrReSb2 after structural relaxation, from Alexandria via LeMat-Bulk.

CIF file:
```
data_SrReSb2
_chemical_formula_sum 'Sr1 Re1 Sb2'
_cell_length_a 3.426
_cell_length_b 4.494
_cell_length_c 6.284
_cell_angle_alpha 90.00
_cell_angle_beta 92.34
_cell_angle_gamma 90.00
_space_group_name_H-M_alt 'P 1 2/m 1'
_space_group_IT_number 10
_space_group_name_Hall '-P 2y'
loop_
_atom_site_label
_atom_site_fract_x
_atom_site_fract_y
_atom_site_fract_z
Sr1 0.000 0.000 0.000
Re1 0.500 0.000 0.500
Sb1 0.461 0.500 0.729
```

## Properties
Crystal system   monoclinic
DOS at the Fermi energy   3.4 states/eV/cell

=====

How far above the most stable structure does each one sit? In kJ/mol of atoms: arrangement w 28.6; arrangement x 0.0.

=====

Arrangement w

The following is a GGA-PBEsol calculation of Tl2ReSb after structural relaxation, from Alexandria via LeMat-Bulk.

CIF file:
```
data_Tl2ReSb
_chemical_formula_sum 'Tl8 Re4 Sb4'
_cell_length_a 7.056
_cell_length_b 7.056
_cell_length_c 7.056
_cell_angle_alpha 90.00
_cell_angle_beta 90.00
_cell_angle_gamma 90.00
_space_group_name_H-M_alt 'F -4 3 m'
_space_group_IT_number 216
_space_group_name_Hall 'F -4 2 3'
loop_
_atom_site_label
_atom_site_fract_x
_atom_site_fract_y
_atom_site_fract_z
Tl1 0.000 0.000 0.000
Tl2 0.250 0.250 0.250
Re1 0.000 0.000 0.500
Sb1 0.250 0.250 0.750
```

## Properties
Crystal system   cubic
DOS at the Fermi energy   15.9 states/eV/cell

=====

Arrangement x

The following is a GGA-PBEsol calculation of Tl2ReSb after structural relaxation, from Alexandria via LeMat-Bulk.

CIF file:
```
data_Tl2ReSb
_chemical_formula_sum 'Tl2 Re1 Sb1'
_cell_length_a 4.077
_cell_length_b 4.077
_cell_length_c 5.485
_cell_angle_alpha 90.00
_cell_angle_beta 90.00
_cell_angle_gamma 90.00
_space_group_name_H-M_alt 'P 4/m m m'
_space_group_IT_number 123
_space_group_name_Hall '-P 4 2'
loop_
_atom_site_label
_atom_site_fract_x
_atom_site_fract_y
_atom_site_fract_z
Tl1 0.000 0.500 0.000
Re1 0.000 0.000 0.500
Sb1 0.500 0.500 0.500
```

## Properties
Crystal system   tetragonal
DOS at the Fermi energy   3.7 states/eV/cell

=====

Arrangement y

The following is a GGA-PBEsol calculation of Tl2ReSb after structural relaxation, from Alexandria via LeMat-Bulk.

CIF file:
```
data_Tl2ReSb
_chemical_formula_sum 'Tl8 Re4 Sb4'
_cell_length_a 7.048
_cell_length_b 7.048
_cell_length_c 7.048
_cell_angle_alpha 90.00
_cell_angle_beta 90.00
_cell_angle_gamma 90.00
_space_group_name_H-M_alt 'F m -3 m'
_space_group_IT_number 225
_space_group_name_Hall '-F 4 2 3'
loop_
_atom_site_label
_atom_site_fract_x
_atom_site_fract_y
_atom_site_fract_z
Tl1 0.250 0.250 0.250
Re1 0.000 0.000 0.000
Sb1 0.000 0.000 0.500
```

## Properties
Crystal system   cubic
DOS at the Fermi energy   15.5 states/eV/cell

=====

How far above the most stable structure does each one sit? In kJ/mol of atoms: arrangement w 0.0; arrangement x 5.8; arrangement y 15.7.